A relaxed LiLa2YH crystal. Source: Alexandria, functional PBE-GGA.

POSCAR file:
```
LiLa2YH
1.0
5.1059 0.0000 0.0000
0.0000 5.1059 0.0000
0.0000 0.0000 5.0023
H La Y Li
1 2 1 1
direct
0.0000 0.0000 0.0000
0.5000 0.0000 0.0000
0.0000 0.5000 0.0000
0.0000 0.0000 0.5000
0.5000 0.5000 0.5000
```

Output
- Total DFT energy (no corrections): -0.3201 Ry/atom
- Space group: No. 123
- Energy relative to the lowest polymorph listed for this composition: 0.041 eV/atom

A relaxed Pm2Si2Os2C crystal. Source: Alexandria, functional PBE-GGA.

POSCAR file:
```
Pm2Si2Os2C
1.0
4.1381 0.0000 0.0000
2.0690 5.5424 -0.4685
2.0690 1.6086 5.3318
C Pm Si Os
1 2 2 2
direct
0.0000 0.0000 0.0000
0.4362 0.8274 0.3001
0.5638 0.1726 0.6999
0.1590 0.3933 0.2887
0.8410 0.6067 0.7113
0.7958 0.3083 0.1001
0.2042 0.6917 0.8999
```

Output
- Total DFT energy (no corrections): -0.5973 Ry/atom
- Space group: No. 12
- Formation energy from raw total energies: -468.6 kJ/mol of formula units

A relaxed Li3BOs crystal. Source: Alexandria, functional PBE-GGA.

POSCAR file:
```
Li3BOs
1.0
-3.7275 -1.3520 -2.5331
1.1154 -4.5068 0.7641
-2.6458 0.0049 3.8908
Li Os B
3 1 1
direct
0.5000 0.0000 0.0000
0.0000 0.5000 0.0000
0.0000 0.0000 0.5000
0.0000 0.0000 0.0000
0.5000 0.5000 0.5000
```

Output
- Total DFT energy (no corrections): -0.2113 Ry/atom
- Space group: No. 221
- Energy relative to the elements: 1.85 eV/atom

A relaxed Ac2TmCdTe5 crystal. Source: Alexandria, functional PBE-GGA.

POSCAR file:
```
Ac2TmCdTe5
1.0
4.4968 0.0000 0.0000
-2.2484 9.8350 0.0000
0.0000 0.0000 13.7197
Te Ac Cd Tm
10 4 2 2
direct
0.3069 0.6138 0.3545
0.5038 0.0076 0.2720
0.6931 0.3862 0.8545
0.3548 0.7096 0.0009
0.4962 0.9924 0.7720
0.0484 0.0968 0.0722
0.6452 0.2904 0.5009
0.9516 0.9032 0.5722
0.2876 0.5753 0.6641
0.7124 0.4247 0.1641
0.8832 0.7663 0.1852
0.8676 0.7352 0.8091
0.1168 0.2337 0.6852
0.1324 0.2648 0.3091
0.5575 0.1151 0.9533
0.4425 0.8849 0.4533
0.1995 0.3989 0.0127
0.8005 0.6011 0.5127
```

Output
- Total DFT energy (no corrections): -0.3312 Ry/atom
- Space group: No. 36
- Formation energy from raw total energies: -1085.2 kJ/mol of formula units

A relaxed Tb2OsO crystal. Source: Alexandria, functional PBE-GGA.

POSCAR file:
```
Tb2OsO
1.0
-1.1858 -1.9135 -2.3381
1.9906 -1.9431 -1.6721
-0.9361 -7.2350 4.1431
O Os Tb
1 1 2
direct
0.5000 0.5000 0.5000
0.0000 0.0000 0.0000
0.8945 0.8945 0.3165
0.1055 0.1055 0.6835
```

Output
- Total DFT energy (no corrections): -0.5188 Ry/atom
- Space group: No. 166
- Formation energy from raw total energies: -268.9 kJ/mol of formula units

A relaxed NaPmTm4S8 crystal. Source: Alexandria, functional PBE-GGA.

POSCAR file:
```
NaPmTm4S8
1.0
-1.7475 6.5844 4.2053
-7.5807 2.5201 0.5245
-3.9669 -0.6818 7.0395
Tm Pm S Na
4 1 8 1
direct
0.6259 0.6259 0.1222
0.0047 0.0047 0.5043
0.0047 0.4863 0.5043
0.4863 0.0047 0.5043
0.0042 0.0042 0.9874
0.7521 0.2296 0.2662
0.2448 0.2448 0.7285
0.7581 0.7581 0.7257
0.7521 0.7521 0.2662
0.2296 0.7521 0.2662
0.2448 0.7820 0.7285
0.7820 0.2448 0.7285
0.2379 0.2379 0.2862
0.3728 0.3728 0.8815
```

Output
- Total DFT energy (no corrections): -0.4421 Ry/atom
- Space group: No. 160
- Formation energy from raw total energies: -2627.7 kJ/mol of formula units

A relaxed ScGa4Ag crystal. Source: Alexandria, functional PBE-GGA.

POSCAR file:
```
ScGa4Ag
1.0
-5.2513 -1.1953 0.1179
-1.5876 -5.0840 0.8066
-2.3435 -1.3845 4.6486
Ag Sc Ga
1 1 4
direct
0.0000 0.0000 0.0000
0.2500 0.2500 0.2500
0.6248 0.1257 0.6248
0.6248 0.6248 0.1257
0.1257 0.6248 0.6248
0.6248 0.6248 0.6248
```

Output
- Total DFT energy (no corrections): -0.2704 Ry/atom
- Space group: No. 216
- Energy relative to the lowest polymorph listed for this composition: 0.136 eV/atom
- Energy relative to the elements: -0.13 eV/atom

A relaxed Tb6HoMg5 crystal. Source: Alexandria, functional PBE-GGA.

POSCAR file:
```
Tb6HoMg5
1.0
5.2771 0.0022 -1.1034
-0.0033 7.6934 -0.0008
-0.9785 0.0005 8.5262
Tb Mg Ho
6 5 1
direct
0.5000 0.7389 0.0000
0.1674 0.2528 0.3398
0.8326 0.2528 0.6602
0.8326 0.7472 0.6602
0.1674 0.7472 0.3398
0.5000 0.2611 0.0000
0.3363 0.5000 0.6651
0.3399 0.0000 0.6748
0.6601 0.0000 0.3252
0.0000 0.5000 0.0000
0.6637 0.5000 0.3349
0.0000 0.0000 0.0000
```

Output
- Total DFT energy (no corrections): -0.2496 Ry/atom
- Space group: No. 10
- Energy relative to the elements: -0.03 eV/atom

A relaxed TiNb2C2 crystal. Source: Alexandria, functional PBE-GGA.

POSCAR file:
```
TiNb2C2
1.0
-1.1265 -2.2734 1.8825
4.1356 -1.6180 0.5206
1.2105 5.4523 7.3088
C Ti Nb
4 2 4
direct
0.2500 0.7502 0.7665
0.7500 0.2498 0.2335
0.2500 0.7500 0.4121
0.7500 0.2500 0.5879
0.2500 0.2500 0.0821
0.7500 0.7500 0.9179
0.2500 0.2499 0.4072
0.2500 0.2501 0.7466
0.7500 0.7501 0.5928
0.7500 0.7499 0.2534
```

Output
- Total DFT energy (no corrections): -0.7192 Ry/atom
- Space group: No. 59
- Energy relative to the lowest polymorph listed for this composition: 0.098 eV/atom
- Energy relative to the elements: -0.49 eV/atom

A relaxed LiNiGeAu crystal. Source: Alexandria, functional PBE-GGA.

POSCAR file:
```
LiNiGeAu
1.0
4.2937 0.0000 0.0000
2.1468 3.7184 0.0000
2.1468 1.2395 3.5058
Au Ni Li Ge
1 1 1 1
direct
0.5000 0.5000 0.5000
0.0000 0.0000 0.0000
0.7500 0.7500 0.7500
0.2500 0.2500 0.2500
```

Output
- Total DFT energy (no corrections): -0.3032 Ry/atom
- Space group: No. 216
- Energy relative to the elements: -0.23 eV/atom

A relaxed CePm2ThSe4 crystal. Source: Alexandria, functional PBE-GGA.

POSCAR file:
```
CePm2ThSe4
1.0
-2.9517 -2.8610 0.7633
1.1559 -2.9522 -6.5955
5.0986 -5.1168 0.5380
Th Se Ce Pm
1 4 1 2
direct
0.0000 0.5000 0.5000
0.5000 0.7526 0.2485
0.0000 0.2484 0.2499
0.5000 0.2474 0.7515
0.0000 0.7516 0.7501
0.5000 0.5000 0.0000
0.0000 0.0000 0.0000
0.5000 0.0000 0.5000
```

Output
- Total DFT energy (no corrections): -0.4671 Ry/atom
- Space group: No. 10
- Formation energy from raw total energies: -1355.3 kJ/mol of formula units

A relaxed Ta2MnHOs crystal. Source: Alexandria, functional PBE-GGA.

POSCAR file:
```
Ta2MnHOs
1.0
4.3095 0.0000 0.0000
0.0000 4.3095 0.0000
0.0000 0.0000 3.4226
Os Mn Ta H
1 1 2 1
direct
0.5000 0.5000 0.5000
0.0000 0.0000 0.5000
0.5000 0.0000 0.0000
0.0000 0.5000 0.0000
0.0000 0.0000 0.0000
```

Output
- Total DFT energy (no corrections): -0.7092 Ry/atom
- Space group: No. 123
- Energy relative to the lowest polymorph listed for this composition: 0.000 eV/atom

total DFT energy (no corrections) of number 6 (NaPmTm4S8)?
-0.4421 Ry/atom

Which formula does entry 7 have?
ScGa4Ag

Look up the total DFT energy (no corrections) of the fourth one.
-0.3312 Ry/atom